No. 1
Material: Ag2TeAu
Method: DFT, GGA-PBEsol
State: optimized geometry

DFT total energy	-3.477	eV/atom

a = 4.2803 Å, b = 4.2803 Å, c = 4.1504 Å
α = 90.00°, β = 90.00°, γ = 90.00°
Space group P4/mmm (No. 123)
Inequivalent atoms, fractional coordinates:
Ag 0.0000 0.5000 0.0000 [2 per cell]
Te 0.0000 0.0000 0.5000 [1 per cell]
Au 0.5000 0.5000 0.5000 [1 per cell]

No. 2
Material: LiAgSe2
Method: DFT, GGA-PBEsol
State: optimized geometry

DFT total energy	-3.655	eV/atom

a = 4.1651 Å, b = 2.7877 Å, c = 13.9259 Å
α = 90.00°, β = 90.00°, γ = 90.00°
Space group Amm2 (No. 38)
Inequivalent atoms, fractional coordinates:
Li 0.0000 0.0000 0.0000 [2 per cell]
Ag 0.5000 0.0000 0.7491 [2 per cell]
Se 0.0000 0.0000 0.3297 [2 per cell]
Se 0.5000 0.0000 0.5613 [2 per cell]

No. 3
Material: HgRh
Method: DFT, GGA-PBEsol
State: optimized geometry

ΔH_f (0 K)	0.236	eV/atom

a = 4.0407 Å, b = 4.0407 Å, c = 8.0588 Å
α = 90.00°, β = 90.00°, γ = 90.00°
Space group I4_1/amd (No. 141, origin choice 2)
Inequivalent atoms, fractional coordinates:
Hg 0.0000 0.2500 0.3750 [4 per cell]
Rh 0.0000 0.2500 0.8750 [4 per cell]

No. 4
Material: Na2MnP5O15
Method: DFT, GGA-PBEsol
State: optimized geometry

DFT total energy	-7.358	eV/atom

a = 5.2318 Å, b = 13.5234 Å, c = 8.7801 Å
α = 90.00°, β = 103.16°, γ = 90.00°
Space group P2_1/m (No. 11)
Inequivalent atoms, fractional coordinates:
Na 0.0769 0.1100 0.1295 [4 per cell]
Mn 0.5000 0.0000 0.5000 [2 per cell]
P 0.0207 0.6393 0.4870 [4 per cell]
P 0.3472 0.0776 0.8095 [4 per cell]
P 0.4550 0.7500 0.9950 [2 per cell]
O 0.0017 0.2500 0.4580 [2 per cell]
O 0.1168 0.0761 0.4161 [4 per cell]
O 0.1359 0.1442 0.6901 [4 per cell]
O 0.2014 0.7500 0.8775 [2 per cell]
O 0.2160 0.0287 0.9221 [4 per cell]
O 0.2873 0.2500 0.0497 [2 per cell]
O 0.3080 0.6210 0.4908 [4 per cell]
O 0.4415 0.6582 0.1146 [4 per cell]
O 0.4865 0.0109 0.7138 [4 per cell]

No. 5
Material: NdAl2Pt3
Method: DFT, GGA-PBEsol
State: optimized geometry

ΔH_f (0 K)	-1.083	eV/atom

a = 5.5417 Å, b = 5.5417 Å, c = 3.9519 Å
α = 90.00°, β = 90.00°, γ = 120.00°
Space group P6/mmm (No. 191)
Inequivalent atoms, fractional coordinates:
Nd 0.0000 0.0000 0.0000 [1 per cell]
Al 0.3333 0.6667 0.0000 [2 per cell]
Pt 0.0000 0.5000 0.5000 [3 per cell]

No. 6
Material: La2YTc
Method: DFT, GGA-PBEsol
State: optimized geometry

ΔH_f (0 K)	0.355	eV/atom

a = 7.3781 Å, b = 7.3781 Å, c = 7.3781 Å
α = 90.00°, β = 90.00°, γ = 90.00°
Space group Fm-3m (No. 225)
Inequivalent atoms, fractional coordinates:
La 0.2500 0.2500 0.2500 [8 per cell]
Y 0.0000 0.0000 0.0000 [4 per cell]
Tc 0.0000 0.0000 0.5000 [4 per cell]

No. 7
Material: Ta2Pb2O7
Method: DFT, GGA-PBEsol
State: optimized geometry

DFT total energy	-8.605	eV/atom

a = 10.6996 Å, b = 10.6996 Å, c = 10.6996 Å
α = 90.00°, β = 90.00°, γ = 90.00°
Space group Fd-3m (No. 227, origin choice 2)
Inequivalent atoms, fractional coordinates:
Ta 0.0000 0.0000 0.0000 [16 per cell]
Pb 0.0000 0.0000 0.5000 [16 per cell]
O 0.0604 0.3750 0.3750 [48 per cell]
O 0.1250 0.1250 0.6250 [8 per cell]

No. 8
Material: Hf3CrCo
Method: DFT, GGA-PBEsol
State: optimized geometry

ΔH_f (0 K)	0.534	eV/atom

a = 4.6978 Å, b = 4.6978 Å, c = 4.6978 Å
α = 90.00°, β = 90.00°, γ = 90.00°
Space group Pm-3m (No. 221)
Inequivalent atoms, fractional coordinates:
Hf 0.0000 0.0000 0.5000 [3 per cell]
Cr 0.5000 0.5000 0.5000 [1 per cell]
Co 0.0000 0.0000 0.0000 [1 per cell]

No. 9
Material: NaTi2BeSi
Method: DFT, GGA-PBEsol
State: optimized geometry

DFT total energy	-3.772	eV/atom

a = 4.4742 Å, b = 4.4742 Å, c = 4.5522 Å
α = 90.00°, β = 90.00°, γ = 90.00°
Space group P4/mmm (No. 123)
Inequivalent atoms, fractional coordinates:
Na 0.0000 0.0000 0.0000 [1 per cell]
Ti 0.0000 0.5000 0.0000 [2 per cell]
Be 0.5000 0.5000 0.5000 [1 per cell]
Si 0.0000 0.0000 0.5000 [1 per cell]

No. 10
Material: Ca3LaAu
Method: DFT, GGA-PBEsol
State: optimized geometry

ΔH_f (0 K)	-0.151	eV/atom

a = 5.6572 Å, b = 5.6572 Å, c = 5.6572 Å
α = 90.00°, β = 90.00°, γ = 90.00°
Space group Pm-3m (No. 221)
Inequivalent atoms, fractional coordinates:
Ca 0.0000 0.0000 0.5000 [3 per cell]
La 0.5000 0.5000 0.5000 [1 per cell]
Au 0.0000 0.0000 0.0000 [1 per cell]

No. 11
Material: ScHgPb2
Method: DFT, GGA-PBEsol
State: optimized geometry

ΔH_f (0 K)	-0.183	eV/atom

a = 3.4907 Å, b = 4.2917 Å, c = 6.5728 Å
α = 90.00°, β = 90.00°, γ = 90.00°
Space group Pmm2 (No. 25)
Inequivalent atoms, fractional coordinates:
Sc 0.0000 0.0000 0.0000 [1 per cell]
Hg 0.5000 0.5000 0.2370 [1 per cell]
Pb 0.0000 0.0000 0.4824 [1 per cell]
Pb 0.5000 0.5000 0.7726 [1 per cell]

No. 12
Material: CdIn
Method: DFT, GGA-PBEsol
State: optimized geometry

ΔH_f (0 K)	0.035	eV/atom

a = 3.1322 Å, b = 3.1322 Å, c = 10.9215 Å
α = 90.00°, β = 90.00°, γ = 120.00°
Space group P-3m1 (No. 164)
Inequivalent atoms, fractional coordinates:
Cd 0.3333 0.6667 0.1154 [2 per cell]
In 0.3333 0.6667 0.6345 [2 per cell]

No. 13
Material: Li2CoNiO4
Method: DFT, GGA-PBEsol
State: optimized geometry

DFT total energy	-6.268	eV/atom

a = 4.9338 Å, b = 2.8047 Å, c = 4.9911 Å
α = 90.00°, β = 110.92°, γ = 90.00°
Space group P2/m (No. 10)
Inequivalent atoms, fractional coordinates:
Li 0.0000 0.0000 0.0000 [1 per cell]
Li 0.0000 0.5000 0.5000 [1 per cell]
Co 0.5000 0.0000 0.5000 [1 per cell]
Ni 0.5000 0.5000 0.0000 [1 per cell]
O 0.2699 0.5000 0.2724 [2 per cell]
O 0.2908 0.0000 0.7519 [2 per cell]

No. 14
Material: HfCu3Br
Method: DFT, GGA-PBEsol
State: optimized geometry

DFT total energy	-3.729	eV/atom

a = 4.8948 Å, b = 4.8948 Å, c = 4.8948 Å
α = 90.00°, β = 90.00°, γ = 90.00°
Space group Pm-3m (No. 221)
Inequivalent atoms, fractional coordinates:
Hf 0.0000 0.0000 0.0000 [1 per cell]
Cu 0.0000 0.0000 0.5000 [3 per cell]
Br 0.5000 0.5000 0.5000 [1 per cell]

No. 15
Material: K2Te2Au
Method: DFT, GGA-PBEsol
State: optimized geometry

DFT total energy	-3.127	eV/atom

a = 6.8220 Å, b = 6.8220 Å, c = 8.3862 Å
α = 90.00°, β = 90.00°, γ = 90.00°
Space group I4/mmm (No. 139)
Inequivalent atoms, fractional coordinates:
K 0.0000 0.5000 0.2500 [4 per cell]
Te 0.0000 0.0000 0.1926 [4 per cell]
Au 0.0000 0.0000 0.5000 [2 per cell]

No. 16
Material: La2ReW
Method: DFT, GGA-PBEsol
State: optimized geometry

ΔH_f (0 K)	0.813	eV/atom

a = 2.9746 Å, b = 5.0392 Å, c = 5.4598 Å
α = 90.00°, β = 96.02°, γ = 90.00°
Space group P2/m (No. 10)
Inequivalent atoms, fractional coordinates:
La 0.2371 0.0000 0.2544 [2 per cell]
Re 0.0000 0.5000 0.5000 [1 per cell]
W 0.5000 0.5000 0.0000 [1 per cell]

No. 17
Material: LiTa2S4
Method: DFT, GGA-PBEsol
State: optimized geometry

DFT total energy	-7.638	eV/atom

a = 3.3142 Å, b = 3.3142 Å, c = 12.4250 Å
α = 90.00°, β = 90.00°, γ = 120.00°
Space group P-3m1 (No. 164)
Inequivalent atoms, fractional coordinates:
Li 0.0000 0.0000 0.0000 [1 per cell]
Ta 0.0000 0.0000 0.2598 [2 per cell]
S 0.3333 0.6667 0.6174 [2 per cell]
S 0.3333 0.6667 0.8676 [2 per cell]

No. 18
Material: Cd2TcTe
Method: DFT, GGA-PBEsol
State: optimized geometry

DFT total energy	-3.840	eV/atom

a = 3.9746 Å, b = 3.9746 Å, c = 9.6344 Å
α = 90.00°, β = 90.00°, γ = 90.00°
Space group I4/mmm (No. 139)
Inequivalent atoms, fractional coordinates:
Cd 0.0000 0.5000 0.2500 [4 per cell]
Tc 0.0000 0.0000 0.0000 [2 per cell]
Te 0.0000 0.0000 0.5000 [2 per cell]

No. 19
Material: CuNi2
Method: DFT, GGA-PBEsol
State: optimized geometry

ΔH_f (0 K)	0.041	eV/atom

a = 9.1619 Å, b = 2.4523 Å, c = 5.8977 Å
α = 90.00°, β = 105.80°, γ = 90.00°
Space group Cm (No. 8)
Inequivalent atoms, fractional coordinates:
Cu 0.0000 0.0000 0.0000 [2 per cell]
Cu 0.1655 0.5000 0.3338 [2 per cell]
Ni 0.0541 0.0000 0.6139 [2 per cell]
Ni 0.2250 0.5000 0.9431 [2 per cell]
Ni 0.3323 0.0000 0.6661 [2 per cell]
Ni 0.3879 0.0000 0.2815 [2 per cell]

No. 20
Material: SiNiH2
Method: DFT, GGA-PBEsol
State: optimized geometry

DFT total energy	-4.033	eV/atom

a = 4.9355 Å, b = 4.9355 Å, c = 4.9355 Å
α = 90.00°, β = 90.00°, γ = 90.00°
Space group Fm-3m (No. 225)
Inequivalent atoms, fractional coordinates:
Si 0.0000 0.0000 0.0000 [4 per cell]
Ni 0.0000 0.0000 0.5000 [4 per cell]
H 0.2500 0.2500 0.2500 [8 per cell]